Compound: ScHgO2F
Source: the Alexandria database
Functional: PBEsol
Structure: relaxed

Cell lengths 3.944, 4.109, 4.109 Å; angles 90.00, 90.00, 90.00 degrees
Fractional positions:
F: 0.500 0.000 0.000
Sc: 0.000 0.000 0.000
Hg: 0.500 0.500 0.500
O: 0.000 0.000 0.500
O: 0.000 0.500 0.000

Results
Calculated total energy   -5.941 eV/atom
Energy relative to the elements, uncorrected   -10.1 eV per formula unit
Crystal system   tetragonal
Theoretical density   7.4 g cm⁻³

Compound: RbScInCl2
Source: the Alexandria database
Functional: PBEsol
Structure: relaxed

Cell lengths 4.969, 4.969, 7.835 Å; angles 90.00, 90.00, 90.00 degrees
Fractional positions:
In: 0.500 0.500 0.500
Cl: 0.000 0.500 0.000
Cl: 0.500 0.000 0.000
Sc: 0.000 0.000 0.000
Rb: 0.000 0.000 0.500

Results
Calculated total energy   -3.537 eV/atom
Energy relative to the elements, uncorrected   -3.1 eV per formula unit
Crystal system   tetragonal
Theoretical density   2.7 g cm⁻³

Compound: Ba2CoMo
Source: the Alexandria database
Functional: PBEsol
Structure: relaxed

Cell lengths 3.517, 3.517, 9.719 Å; angles 79.58, 79.58, 60.00 degrees
Fractional positions:
Ba: 0.245 0.245 0.265
Ba: 0.755 0.755 0.735
Co: 0.500 0.500 0.500
Mo: 0.000 0.000 0.000

Results
Calculated total energy   -4.532 eV/atom
Calculated formation energy   1.42 eV/atom
Crystal system   trigonal
Theoretical density   7.0 g cm⁻³

Compound: Li2Cr2O7
Source: the Alexandria database
Functional: PBEsol
Structure: relaxed

Cell lengths 6.592, 6.592, 12.786 Å; angles 90.00, 90.00, 90.00 degrees
Fractional positions:
O: 0.959 0.613 0.602
O: 0.489 0.459 0.870
O: 0.011 0.959 0.380
O: 0.541 0.511 0.630
O: 0.676 0.784 0.793
O: 0.387 0.041 0.898
O: 0.324 0.216 0.293
O: 0.959 0.011 0.620
O: 0.824 0.284 0.457
O: 0.176 0.716 0.957
O: 0.784 0.676 0.207
O: 0.113 0.541 0.352
O: 0.041 0.387 0.102
O: 0.541 0.113 0.648
O: 0.710 0.710 0.000
O: 0.613 0.959 0.398
O: 0.216 0.324 0.707
O: 0.511 0.541 0.370
O: 0.887 0.459 0.852
O: 0.290 0.290 0.500
O: 0.210 0.790 0.750
O: 0.459 0.489 0.130
O: 0.790 0.210 0.250
O: 0.041 0.989 0.120
O: 0.989 0.041 0.880
O: 0.284 0.824 0.543
O: 0.459 0.887 0.148
O: 0.716 0.176 0.043
Cr: 0.310 0.404 0.376
Cr: 0.904 0.190 0.126
Cr: 0.404 0.310 0.624
Cr: 0.810 0.096 0.374
Cr: 0.596 0.690 0.124
Cr: 0.190 0.904 0.874
Cr: 0.690 0.596 0.876
Cr: 0.096 0.810 0.626
Li: 0.551 0.812 0.653
Li: 0.812 0.551 0.347
Li: 0.688 0.051 0.903
Li: 0.188 0.449 0.847
Li: 0.312 0.949 0.403
Li: 0.051 0.688 0.097
Li: 0.949 0.312 0.597
Li: 0.449 0.188 0.153

Results
Calculated total energy   -7.394 eV/atom
Energy relative to the elements, uncorrected   -20.2 eV per formula unit
Crystal system   tetragonal
Theoretical density   2.7 g cm⁻³

Compound: SrSi2Rh
Source: the Alexandria database
Functional: PBEsol
Structure: relaxed

Cell lengths 4.113, 5.002, 5.002 Å; angles 69.98, 65.72, 65.72 degrees
Fractional positions:
Si: 0.677 0.823 0.823
Si: 0.993 0.007 0.007
Sr: 0.492 0.508 0.508
Rh: 0.339 0.161 0.161

Results
Calculated total energy   -5.475 eV/atom
Energy relative to the elements, uncorrected   -0.4 eV per formula unit
Crystal system   orthorhombic
Theoretical density   4.9 g cm⁻³

Compound: RbYPt3
Source: the Alexandria database
Functional: PBEsol
Structure: relaxed

Cell lengths 5.191, 5.191, 5.191 Å; angles 90.00, 90.00, 90.00 degrees
Fractional positions:
Pt: 0.500 0.000 0.000
Pt: 0.000 0.500 0.000
Pt: 0.000 0.000 0.500
Y: 0.000 0.000 0.000
Rb: 0.500 0.500 0.500

Results
Calculated total energy   -5.171 eV/atom
Calculated formation energy   0.58 eV/atom
Crystal system   cubic
Theoretical density   9.0 g cm⁻³

Compound: ZrZn2Mo
Source: the Alexandria database
Functional: PBEsol
Structure: relaxed

Cell lengths 2.772, 2.772, 8.264 Å; angles 90.00, 90.00, 91.38 degrees
Fractional positions:
Zn: 0.500 0.500 0.776
Zn: 0.000 0.000 0.990
Mo: 0.500 0.500 0.222
Zr: 0.000 0.000 0.512

Results
Calculated total energy   -5.961 eV/atom
Calculated formation energy   0.04 eV/atom
Crystal system   orthorhombic
Theoretical density   8.3 g cm⁻³

Compound: MgSiOs2
Source: the Alexandria database
Functional: PBEsol
Structure: relaxed

Cell lengths 2.795, 2.795, 8.285 Å; angles 90.00, 90.00, 116.63 degrees
Fractional positions:
Os: 0.000 0.000 0.723
Os: 0.000 0.000 0.277
Mg: 0.500 0.500 0.000
Si: 0.500 0.500 0.500

Results
Calculated total energy   -7.864 eV/atom
Energy relative to the elements, uncorrected   0.4 eV per formula unit
Crystal system   orthorhombic
Theoretical density   12.4 g cm⁻³

Compound: Re2AgIr
Source: the Alexandria database
Functional: PBEsol
Structure: relaxed

Cell lengths 2.705, 4.843, 4.843 Å; angles 112.45, 90.00, 90.00 degrees
Fractional positions:
Re: 0.000 0.000 0.500
Re: 0.000 0.500 0.000
Ir: 0.500 0.500 0.500
Ag: 0.500 0.000 0.000

Results
Calculated total energy   -9.528 eV/atom
Calculated formation energy   0.42 eV/atom
Crystal system   orthorhombic
Theoretical density   19.1 g cm⁻³

Compound: LiP2Au
Source: the Alexandria database
Functional: PBEsol
Structure: relaxed

Cell lengths 5.347, 5.771, 5.698 Å; angles 109.99, 106.96, 110.53 degrees
Fractional positions:
Li: 0.218 0.014 0.383
Li: 0.335 0.631 0.617
P: 0.725 0.161 0.791
P: 0.780 0.248 0.218
P: 0.062 0.031 0.782
P: 0.434 0.369 0.209
Au: 0.583 0.794 0.183
Au: 0.900 0.611 0.817

Results
Calculated total energy   -4.721 eV/atom
Calculated formation energy   -0.35 eV/atom
Crystal system   monoclinic
Theoretical density   6.5 g cm⁻³

Compound: BeAl2Cu
Source: the Alexandria database
Functional: PBEsol
Structure: relaxed

Cell lengths 2.573, 4.209, 5.421 Å; angles 112.85, 103.73, 90.00 degrees
Fractional positions:
Al: 0.020 0.020 0.040
Al: 0.223 0.723 0.446
Cu: 0.778 0.278 0.556
Be: 0.479 0.479 0.958

Results
Calculated total energy   -4.060 eV/atom
Calculated formation energy   0.07 eV/atom
Crystal system   orthorhombic
Theoretical density   4.0 g cm⁻³

Compound: Zr2Fe2Tc
Source: the Alexandria database
Functional: PBEsol
Structure: relaxed

Cell lengths 3.219, 3.219, 8.085 Å; angles 101.48, 101.48, 90.00 degrees
Fractional positions:
Fe: 0.250 0.750 0.500
Fe: 0.750 0.250 0.500
Tc: 0.000 0.000 0.000
Zr: 0.397 0.397 0.794
Zr: 0.603 0.603 0.206

Results
Calculated total energy   -9.374 eV/atom
Calculated formation energy   0.10 eV/atom
Crystal system   tetragonal
Theoretical density   8.1 g cm⁻³

theoretical density of number 11 (BeAl2Cu)?
4.0 g cm⁻³

Which of these has the highest calculated total energy?
RbScInCl2

What is the formula in the fourth record?
Li2Cr2O7

What is the formula in the fifth record?
SrSi2Rh